[1]
Material: TiRhAu
Method: DFT, PBE-GGA
State: optimized geometry

Cell and atoms, written as POSCAR:
```
TiRhAu
1.0
-1.562 1.704 4.523
1.562 -1.704 4.523
1.562 1.704 -4.523
Ti Rh Au
1 1 1
direct
0.000 0.000 0.000
0.632 0.632 0.000
0.322 0.322 0.000
```

Results
The distance to the lowest polymorph of the same formula comes out at 0 meV per atom. Its formation energy is -0.5680 eV/atom. The space group is Imm2.

[2]
Material: Ti3RhAu
Method: DFT, PBE-GGA
State: optimized geometry

Cell and atoms, written as POSCAR:
```
Ti3RhAu
1.0
4.794 0.000 0.000
0.000 4.794 0.000
0.000 0.000 4.794
Ti Rh Au
3 1 1
direct
0.000 0.000 0.500
0.000 0.500 0.000
0.500 0.000 0.000
0.500 0.500 0.500
0.000 0.000 0.000
```

Results
The distance to the lowest polymorph of the same formula comes out at 1163 meV per atom. Its formation energy is 0.9272 eV/atom. The space group is Pm-3m.

[3]
Material: Ti2RhAu2
Method: DFT, PBE-GGA
State: optimized geometry

Cell and atoms, written as POSCAR:
```
Ti2RhAu2
1.0
6.670 0.000 0.000
0.000 6.670 0.000
0.000 0.000 3.953
Ti Rh Au
4 2 4
direct
0.149 0.351 0.000
0.351 0.851 0.000
0.649 0.149 0.000
0.851 0.649 0.000
0.000 0.000 0.000
0.500 0.500 0.000
0.151 0.651 0.500
0.349 0.151 0.500
0.651 0.849 0.500
0.849 0.349 0.500
```

Results
The distance to the lowest polymorph of the same formula comes out at 124 meV per atom. Its formation energy is -0.1356 eV/atom. The space group is P4/mbm.

[4]
Material: Ti2RhAu
Method: DFT, PBE-GGA
State: optimized geometry

Cell and atoms, written as POSCAR:
```
Ti2RhAu
1.0
2.969 0.000 0.000
0.000 2.969 0.000
0.000 0.000 7.289
Ti Rh Au
2 1 1
direct
0.000 0.000 0.231
0.000 0.000 0.769
0.500 0.500 0.000
0.500 0.500 0.500
```

Results
Its formation energy is -0.5419 eV/atom. The space group is P4/mmm.

[5]
Material: Ti2RhAu
Method: DFT, PBE-GGA
State: optimized geometry

Cell and atoms, written as POSCAR:
```
Ti2RhAu
1.0
-3.546 3.546 2.746
3.546 -3.546 2.746
3.546 3.546 -2.746
Ti Rh Au
4 2 2
direct
0.097 0.125 0.472
0.375 0.903 0.028
0.653 0.625 0.528
0.875 0.347 0.972
0.000 0.000 0.000
0.750 0.250 0.500
0.250 0.750 0.500
0.500 0.500 0.000
```

Results
Its formation energy is -0.1894 eV/atom. The space group is I-42d.

[6]
Material: TiRhAu3
Method: DFT, PBE-GGA
State: optimized geometry

Cell and atoms, written as POSCAR:
```
TiRhAu3
1.0
4.940 0.000 0.000
0.000 4.940 0.000
0.000 0.000 4.940
Ti Rh Au
1 1 3
direct
0.000 0.000 0.000
0.500 0.500 0.500
0.000 0.500 0.500
0.500 0.000 0.500
0.500 0.500 0.000
```

Results
Its formation energy is 1.0690 eV/atom. The space group is Pm-3m.

[7]
Material: Ti3RhAu
Method: DFT, PBE-GGA
State: optimized geometry

Cell and atoms, written as POSCAR:
```
Ti3RhAu
1.0
4.685 0.000 0.000
0.000 4.685 0.000
0.000 0.000 4.685
Ti Rh Au
3 1 1
direct
0.000 0.000 0.500
0.000 0.500 0.000
0.500 0.000 0.000
0.000 0.000 0.000
0.500 0.500 0.500
```

Results
The distance to the lowest polymorph of the same formula comes out at 523 meV per atom. Its formation energy is 0.2872 eV/atom. The space group is Pm-3m.

[8]
Material: TiRhAu
Method: DFT, PBE-GGA
State: optimized geometry

Cell and atoms, written as POSCAR:
```
TiRhAu
1.0
4.379 0.000 0.000
-2.190 3.793 0.000
0.000 0.000 2.904
Ti Rh Au
1 1 1
direct
0.000 0.000 0.000
0.333 0.667 0.000
0.667 0.333 0.500
```

Results
The distance to the lowest polymorph of the same formula comes out at 151 meV per atom. Its formation energy is -0.4169 eV/atom. The space group is P-6m2.